Entry 1:
Below is an optimized crystal structure of TmZrInRu, with properties calculated at the PBE level.

Cell lengths 3.3101, 3.3101, 7.7302 Å; angles 90.00, 90.00, 90.00 degrees
Closest atoms and distances in Å follow each position.
Fractional coordinates of all 4 atoms:
Tm 0.5000 0.5000 0.7853  4 Ru 2.93
Zr 0.5000 0.5000 0.3573  4 Ru 2.81
In 0.0000 0.0000 0.0846  4 Zr 3.15, 4 Tm 3.29, 4 In 3.31
Ru 0.0000 0.0000 0.5575  4 Zr 2.81, 4 Tm 2.93

Summary:
SG   P4mm, No. 99
Offset from the most stable computed form   0.00 kcal/mol of atoms
DOS(E_F)   1.63 states/eV/cell

=====

Entry 2:
Below is an optimized crystal structure of U2InRu4, with properties calculated at the PBE level.

Cell lengths 3.9489, 5.7340, 5.7340 Å; angles 97.74, 90.00, 90.00 degrees
Closest atoms and distances in Å follow each position.
Fractional coordinates of all 7 atoms:
U 0.0000 0.8024 0.1976  6 Ru 2.51-2.77
U 0.0000 0.1976 0.8024  6 Ru 2.51-2.77
In 0.5000 0.5000 0.5000  8 Ru 2.77-2.87
Ru 0.0000 0.7567 0.7567  2 U 2.51, 2 In 2.77
Ru 0.0000 0.2433 0.2433  2 U 2.51, 2 In 2.77
Ru 0.5000 0.0000 0.5000  4 U 2.77, 2 In 2.87, 4 Ru 2.93
Ru 0.5000 0.5000 0.0000  4 U 2.77, 2 In 2.87, 4 Ru 2.93

Summary:
SG   Cmmm, No. 65
DOS(E_F)   4.48 states/eV/cell
E_tot   -9.151 eV per atom

=====

Entry 3:
Below is an optimized crystal structure of UInRu2, with properties calculated at the PBE level.

Cell lengths 3.4109, 3.4109, 7.9375 Å; angles 77.59, 77.59, 60.00 degrees
Closest atoms and distances in Å follow each position.
Fractional coordinates of all 4 atoms:
U 0.6668 0.6668 0.9995  6 Ru 2.59
In 0.4997 0.4997 0.5010  6 Ru 2.92-2.93
Ru 0.0731 0.0731 0.7807  3 U 2.59
Ru 0.2604 0.2604 0.2188  3 U 2.59

Summary:
SG   R3m, No. 160
DOS(E_F)   4.00 states/eV/cell
E_tot   -8.186 eV per atom

=====

Entry 4:
Below is an optimized crystal structure of UInRu2, with properties calculated at the PBE level.

Cell lengths 3.3567, 3.3567, 6.4856 Å; angles 90.00, 90.00, 90.00 degrees
Closest atoms and distances in Å follow each position.
Fractional coordinates of all 4 atoms:
Ru 0.0000 0.0000 0.7608  4 U 2.84, 4 In 2.91, 1 Ru 3.10
Ru 0.0000 0.0000 0.2392  4 U 2.84, 4 In 2.91, 1 Ru 3.10
U 0.5000 0.5000 0.0000  8 Ru 2.84
In 0.5000 0.5000 0.5000  8 Ru 2.91, 2 U 3.24

Summary:
SG   P4/mmm, No. 123
DOS(E_F)   5.19 states/eV/cell
E_tot   -8.293 eV per atom

=====

Entry 5:
Below is an optimized crystal structure of UIn5Ru6, with properties calculated at the PBE level.

Cell lengths 4.6184, 6.5382, 7.2178 Å; angles 90.00, 71.26, 90.01 degrees
Closest atoms and distances in Å follow each position.
Fractional coordinates of all 12 atoms:
Ru 0.8380 0.7549 0.3240  1 U 2.73, 7 In 2.77-2.86
Ru 0.8380 0.2451 0.3240  1 U 2.73, 7 In 2.77-2.86
Ru 0.4998 0.2469 0.0000  2 U 2.82, 6 In 2.82-2.84
Ru 0.5002 0.7531 0.0000  2 U 2.82, 6 In 2.82-2.84
Ru 0.1620 0.7549 0.6760  1 U 2.73, 7 In 2.77-2.86
Ru 0.1620 0.2451 0.6760  1 U 2.73, 7 In 2.77-2.86
U 0.0000 0.0000 0.0000  8 Ru 2.73-2.82
In 0.6682 0.5000 0.6637  8 Ru 2.83-2.86
In 0.3306 0.0000 0.3387  8 Ru 2.81-2.82
In 0.0000 0.5000 0.0000  8 Ru 2.77-2.84
In 0.6694 0.0000 0.6613  8 Ru 2.81-2.82
In 0.3318 0.5000 0.3363  8 Ru 2.83-2.86

Summary:
SG   P2/m, No. 10
DOS(E_F)   7.50 states/eV/cell
E_tot   -6.830 eV per atom

=====

Entry 6:
Below is an optimized crystal structure of U2In2Ru3, with properties calculated at the PBE level.

Cell lengths 3.5321, 7.1529, 5.9914 Å; angles 85.09, 90.05, 104.15 degrees
Closest atoms and distances in Å follow each position.
Fractional coordinates of all 7 atoms:
U 0.6376 0.2749 0.8779  4 Ru 2.50-2.66
U 0.3624 0.7251 0.1221  4 Ru 2.50-2.66
In 0.9003 0.8035 0.6295  4 Ru 2.71-2.86, 1 In 3.02
In 0.0997 0.1965 0.3705  4 Ru 2.71-2.86, 1 In 3.02
Ru 0.0000 0.0000 0.0000  4 U 2.65-2.66, 2 In 2.71
Ru 0.7574 0.5158 0.3148  2 U 2.50-2.51
Ru 0.2426 0.4842 0.6852  2 U 2.50-2.51

Summary:
SG   P-1, No. 2
DOS(E_F)   7.59 states/eV/cell
E_tot   -8.120 eV per atom

=====

Entry 7:
Below is an optimized crystal structure of UInRu4, with properties calculated at the PBE level.

Cell lengths 5.2625, 5.2625, 5.2625 Å; angles 60.00, 60.00, 60.00 degrees
Closest atoms and distances in Å follow each position.
Fractional coordinates of all 6 atoms:
Ru 0.6259 0.6259 0.1224  6 Ru 2.61-2.65
Ru 0.6259 0.1224 0.6259  6 Ru 2.61-2.65
Ru 0.6259 0.6259 0.6259  6 Ru 2.61-2.65
Ru 0.1224 0.6259 0.6259  6 Ru 2.61-2.65
U 0.2500 0.2500 0.2500  12 Ru 3.09, 4 In 3.22
In 0.0000 0.0000 0.0000  12 Ru 3.08, 4 U 3.22

Summary:
SG   F-43m, No. 216
DOS(E_F)   10.27 states/eV/cell
E_tot   -8.486 eV per atom

=====

Entry 8:
Below is an optimized crystal structure of UInRu2, with properties calculated at the PBE level.

Cell lengths 3.5074, 4.5199, 4.5199 Å; angles 90.00, 90.00, 90.00 degrees
Closest atoms and distances in Å follow each position.
Fractional coordinates of all 4 atoms:
Ru 0.0000 0.0000 0.5000  4 U 2.86, 4 In 2.86, 4 Ru 3.20
Ru 0.0000 0.5000 0.0000  4 U 2.86, 4 In 2.86, 4 Ru 3.20
U 0.5000 0.0000 0.0000  8 Ru 2.86, 4 In 3.20
In 0.5000 0.5000 0.5000  8 Ru 2.86, 4 U 3.20

Summary:
SG   P4/mmm, No. 123
DOS(E_F)   5.47 states/eV/cell
E_tot   -8.370 eV per atom

=====

Entry 9:
Below is an optimized crystal structure of UInRu3, with properties calculated at the PBE level.

Cell lengths 5.8732, 6.4825, 5.7976 Å; angles 105.45, 120.43, 90.00 degrees
Closest atoms and distances in Å follow each position.
Fractional coordinates of all 10 atoms:
U 0.8316 0.9983 0.6633  6 Ru 2.46-2.61
U 0.1684 0.0017 0.3367  6 Ru 2.46-2.61
In 0.4501 0.7157 0.9002  8 Ru 2.88-2.97
In 0.5499 0.2843 0.0998  8 Ru 2.88-2.97
Ru 0.9468 0.6891 0.3946  2 U 2.51-2.59
Ru 0.0495 0.3076 0.0990  2 U 2.46-2.61
Ru 0.4478 0.6891 0.3946  2 U 2.51-2.59
Ru 0.5522 0.3109 0.6054  2 U 2.51-2.59
Ru 0.0532 0.3109 0.6054  2 U 2.51-2.59
Ru 0.9505 0.6924 0.9010  2 U 2.46-2.61

Summary:
SG   C2/m, No. 12
DOS(E_F)   8.43 states/eV/cell
E_tot   -8.539 eV per atom

=====

Entry 10:
Below is an optimized crystal structure of U2InRu3, with properties calculated at the PBE level.

Cell lengths 5.8917, 8.2178, 7.1842 Å; angles 124.89, 114.21, 90.00 degrees
Closest atoms and distances in Å follow each position.
Fractional coordinates of all 12 atoms:
U 0.1666 0.9166 0.8333  6 Ru 2.67
U 0.1667 0.4166 0.8333  6 Ru 2.67
U 0.8333 0.5834 0.1667  6 Ru 2.67
U 0.8334 0.0834 0.1667  6 Ru 2.67
In 0.5000 0.2500 0.5000  6 U 3.40, 12 Ru 3.59
In 0.5000 0.7500 0.5000  6 U 3.40, 12 Ru 3.59
Ru 0.0000 0.7501 0.0000  4 U 2.67, 4 Ru 2.95
Ru 0.0000 0.2499 0.0000  4 U 2.67, 4 Ru 2.95
Ru 0.5000 0.7499 0.0000  4 U 2.67, 4 Ru 2.95
Ru 0.0000 0.0000 0.5000  4 U 2.67, 4 Ru 2.95
Ru 0.0000 0.5000 0.5000  4 U 2.67, 4 Ru 2.95
Ru 0.5000 0.2501 0.0000  4 U 2.67, 4 Ru 2.95

Summary:
SG   P6/mmm, No. 191
DOS(E_F)   17.80 states/eV/cell
E_tot   -8.810 eV per atom

=====

Entry 11:
Below is an optimized crystal structure of Y2U2InRu5, with properties calculated at the PBE level.

Cell lengths 3.4471, 10.7005, 10.7005 Å; angles 90.00, 90.00, 90.00 degrees
Closest atoms and distances in Å follow each position.
Fractional coordinates of all 20 atoms:
Y 0.0000 0.6704 0.1704  1 U 2.85, 6 Ru 3.10-3.15
Y 0.0000 0.3296 0.8296  1 U 2.85, 6 Ru 3.10-3.15
Y 0.0000 0.1704 0.3296  1 U 2.85, 6 Ru 3.10-3.15
Y 0.0000 0.8296 0.6704  1 U 2.85, 6 Ru 3.10-3.15
U 0.0000 0.1413 0.6413  6 Ru 2.53-2.75
U 0.0000 0.8587 0.3587  6 Ru 2.53-2.75
U 0.0000 0.6413 0.8587  6 Ru 2.53-2.75
U 0.0000 0.3587 0.1413  6 Ru 2.53-2.75
In 0.0000 0.0000 0.0000  8 Ru 2.90
In 0.0000 0.5000 0.5000  8 Ru 2.90
Ru 0.5000 0.2134 0.0468  2 U 2.53
Ru 0.5000 0.7866 0.9532  2 U 2.53
Ru 0.5000 0.0468 0.7866  2 U 2.53
Ru 0.5000 0.7134 0.4532  2 U 2.53
Ru 0.5000 0.9532 0.2134  2 U 2.53
Ru 0.5000 0.2866 0.5468  2 U 2.53
Ru 0.5000 0.5468 0.7134  2 U 2.53
Ru 0.5000 0.4532 0.2866  2 U 2.53
Ru 0.5000 0.5000 0.0000  4 U 2.75
Ru 0.5000 0.0000 0.5000  4 U 2.75

Summary:
SG   P4/mbm, No. 127
DOS(E_F)   15.81 states/eV/cell
E_tot   -8.624 eV per atom

=====

Entry 12:
Below is an optimized crystal structure of VInRu2, with properties calculated at the PBE level.

Cell lengths 3.0620, 3.0620, 6.5076 Å; angles 90.00, 90.00, 90.00 degrees
Closest atoms and distances in Å follow each position.
Fractional coordinates of all 4 atoms:
Ru 0.0000 0.0000 0.7810  4 V 2.59, 4 In 2.83, 1 Ru 2.85
Ru 0.0000 0.0000 0.2190  4 V 2.59, 4 In 2.83, 1 Ru 2.85
V 0.5000 0.5000 0.0000  8 Ru 2.59
In 0.5000 0.5000 0.5000  8 Ru 2.83, 4 In 3.06

Summary:
SG   P4/mmm, No. 123
DOS(E_F)   1.46 states/eV/cell
E_tot   -7.797 eV per atom